Entry 1:
Entry from the Alexandria database: crystalline Tb6In3Co at its relaxed geometry (PBE).

As for the spin magnetization: 0.000 μB/atom. The value obtained for the density of states at the Fermi level is 17.8 states/eV per cell. For the distance to the lowest polymorph of the same formula, the calculation gives 0.020 eV per atom. Its space group is Pnnm, No. 58.

```
Tb6In3Co
1.0
9.169 0.000 0.000
0.000 11.337 0.000
0.000 0.000 5.188
Tb In Co
12 6 2
Cartesian
0.165 2.575 0.000
1.437 0.836 2.594
1.742 4.655 2.594
2.843 10.324 0.000
3.147 6.504 0.000
4.420 8.244 2.594
4.749 3.093 2.594
6.022 4.832 0.000
6.326 1.013 0.000
7.428 6.681 2.594
7.732 10.500 2.594
9.004 8.761 0.000
0.000 5.668 0.000
1.369 8.204 2.594
3.216 2.536 0.000
4.585 0.000 2.594
5.954 8.801 0.000
7.800 3.132 2.594
0.000 0.000 0.000
4.585 5.668 2.594
```

=====

Entry 2:
Entry from the Alexandria database: crystalline Tb4In2Co at its relaxed geometry (PBE).

As for the spin magnetization: 0.000 μB/atom. The value obtained for the density of states at the Fermi level is 5.7 states/eV per cell. For the distance to the lowest polymorph of the same formula, the calculation gives 0.000 eV per atom. Its space group is P2/m, No. 10.

```
Tb4In2Co
1.0
6.438 0.000 0.000
0.000 3.625 0.000
-3.129 0.000 8.454
Tb In Co
4 2 1
Cartesian
0.010 0.000 2.197
0.147 1.812 5.471
3.162 1.812 2.983
3.299 0.000 6.257
-1.418 1.812 8.436
4.727 1.812 0.018
1.655 0.000 4.227
```

=====

Entry 3:
Entry from the Alexandria database: crystalline Tb7In2Co2 at its relaxed geometry (PBE).

The calculation puts the uncorrected energy at -0.1824 Ha/atom. As for the spin magnetization: 0.000 μB/atom. The value obtained for the density of states at the Fermi level is 11.3 states/eV per cell. Its space group is Imm2, No. 44.

```
Tb7In2Co2
1.0
-1.800 8.189 4.981
1.800 -8.189 4.981
1.800 8.189 -4.981
Tb In Co
7 2 2
Cartesian
0.000 0.000 0.000
1.800 5.957 -0.607
1.800 2.962 1.291
0.000 2.233 4.374
0.000 5.678 2.815
0.000 10.700 2.815
0.000 5.227 6.272
1.800 0.000 2.645
0.000 0.000 6.715
1.800 -4.305 4.371
1.800 4.305 4.371
```

=====

Entry 4:
Entry from the Alexandria database: crystalline Tb4In16Co3 at its relaxed geometry (PBE).

The calculation puts the uncorrected energy at -0.1436 Ha/atom. As for the spin magnetization: 0.000 μB/atom. The value obtained for the density of states at the Fermi level is 6.2 states/eV per cell. Its space group is P4/mmm, No. 123.

```
Tb4In16Co3
1.0
6.556 0.000 0.000
0.000 6.556 0.000
0.000 0.000 12.209
Tb In Co
4 16 3
Cartesian
0.000 3.278 2.396
0.000 3.278 9.813
3.278 0.000 2.396
3.278 0.000 9.813
0.000 0.000 2.384
0.000 0.000 9.825
1.496 1.496 0.000
1.496 5.060 0.000
1.634 1.634 4.666
1.634 1.634 7.542
1.634 4.922 4.666
1.634 4.922 7.542
3.278 3.278 2.557
3.278 3.278 9.651
4.922 1.634 4.666
4.922 1.634 7.542
4.922 4.922 4.666
4.922 4.922 7.542
5.060 1.496 0.000
5.060 5.060 0.000
0.000 3.278 6.104
3.278 0.000 6.104
3.278 3.278 0.000
```

=====

Entry 5:
Entry from the Alexandria database: crystalline TbIn5Co at its relaxed geometry (PBE).

The calculation puts the uncorrected energy at -0.1426 Ha/atom. As for the spin magnetization: 0.000 μB/atom. The value obtained for the density of states at the Fermi level is 3.2 states/eV per cell. Its space group is P4/mmm, No. 123.

```
TbIn5Co
1.0
4.582 0.000 0.000
0.000 4.582 0.000
0.000 0.000 7.514
Tb In Co
1 5 1
Cartesian
0.000 0.000 0.000
0.000 2.291 2.304
0.000 2.291 5.210
2.291 0.000 2.304
2.291 0.000 5.210
2.291 2.291 0.000
0.000 0.000 3.757
```

=====

Entry 6:
Entry from the Alexandria database: crystalline Tb3InCo at its relaxed geometry (PBE).

As for the spin magnetization: 0.000 μB/atom. The value obtained for the density of states at the Fermi level is 5.8 states/eV per cell. For the distance to the lowest polymorph of the same formula, the calculation gives 0.073 eV per atom. Its space group is Pm-3m, No. 221.

```
Tb3InCo
1.0
5.156 0.000 0.000
0.000 5.156 0.000
0.000 0.000 5.156
Tb In Co
3 1 1
Cartesian
0.000 0.000 2.578
0.000 2.578 0.000
2.578 0.000 0.000
2.578 2.578 2.578
0.000 0.000 0.000
```

=====

Entry 7:
Entry from the Alexandria database: crystalline TbTmInCo at its relaxed geometry (PBE).

As for the spin magnetization: 0.114 μB/atom. The value obtained for the density of states at the Fermi level is 3.1 states/eV per cell. For the distance to the lowest polymorph of the same formula, the calculation gives 0.000 eV per atom. Its space group is P4mm, No. 99.

```
TbTmInCo
1.0
3.354 0.000 0.000
0.000 3.354 0.000
0.000 0.000 7.957
Tb Tm In Co
1 1 1 1
Cartesian
0.000 0.000 0.000
0.000 0.000 4.677
1.677 1.677 2.376
1.677 1.677 6.257
```

=====

Entry 8:
Entry from the Alexandria database: crystalline TbTmInCo at its relaxed geometry (PBE).

As for the spin magnetization: 0.308 μB/atom. The value obtained for the density of states at the Fermi level is 2.0 states/eV per cell. For the distance to the lowest polymorph of the same formula, the calculation gives 0.122 eV per atom. Its space group is F-43m, No. 216.

```
TbTmInCo
1.0
0.000 3.579 3.579
3.579 0.000 3.579
3.579 3.579 0.000
Tb Tm In Co
1 1 1 1
Cartesian
0.000 0.000 0.000
3.579 3.579 3.579
5.369 5.369 5.369
1.790 1.790 1.790
```

=====

Entry 9:
Entry from the Alexandria database: crystalline TbYInCo at its relaxed geometry (PBE).

The calculation puts the uncorrected energy at -0.1998 Ha/atom. As for the spin magnetization: 0.311 μB/atom. The value obtained for the density of states at the Fermi level is 2.1 states/eV per cell. Its space group is F-43m, No. 216.

```
TbYInCo
1.0
0.000 3.610 3.610
3.610 0.000 3.610
3.610 3.610 0.000
Tb Y In Co
1 1 1 1
Cartesian
0.000 0.000 0.000
3.610 3.610 3.610
5.415 5.415 5.415
1.805 1.805 1.805
```

=====

Entry 10:
Entry from the Alexandria database: crystalline InCoTc2 at its relaxed geometry (PBE).

As for the spin magnetization: 0.322 μB/atom. The value obtained for the density of states at the Fermi level is 5.0 states/eV per cell. For the distance to the lowest polymorph of the same formula, the calculation gives 0.148 eV per atom. Its space group is P4/mmm, No. 123.

```
InCoTc2
1.0
2.941 0.000 0.000
0.000 2.941 0.000
0.000 0.000 6.994
In Co Tc
1 1 2
Cartesian
0.000 0.000 0.000
0.000 0.000 3.497
1.471 1.471 2.061
1.471 1.471 4.932
```

=====

Entry 11:
Entry from the Alexandria database: crystalline InCoTc2 at its relaxed geometry (PBE).

As for the spin magnetization: 0.111 μB/atom. The value obtained for the density of states at the Fermi level is 4.5 states/eV per cell. For the distance to the lowest polymorph of the same formula, the calculation gives 0.105 eV per atom. Its space group is C2/m, No. 12.

```
InCoTc2
1.0
4.687 -1.417 0.000
4.687 1.417 0.000
-1.105 0.000 4.514
In Co Tc
1 1 2
Cartesian
0.000 0.000 0.000
4.134 0.000 2.257
1.373 0.000 3.245
6.895 0.000 1.269
```

=====

Entry 12:
Entry from the Alexandria database: crystalline InCoTc2 at its relaxed geometry (PBE).

As for the spin magnetization: 0.301 μB/atom. The value obtained for the density of states at the Fermi level is 4.8 states/eV per cell. For the distance to the lowest polymorph of the same formula, the calculation gives 0.266 eV per atom. Its space group is Cmmm, No. 65.

```
InCoTc2
1.0
2.563 -4.172 0.000
2.563 4.172 0.000
0.000 0.000 2.838
In Co Tc
1 1 2
Cartesian
0.000 0.000 0.000
2.563 0.000 0.000
1.282 2.086 1.419
1.282 -2.086 1.419
```

=====

Entry 13:
Entry from the Alexandria database: crystalline InCoTc2 at its relaxed geometry (PBE).

As for the spin magnetization: 0.322 μB/atom. The value obtained for the density of states at the Fermi level is 5.5 states/eV per cell. For the distance to the lowest polymorph of the same formula, the calculation gives 0.150 eV per atom. Its space group is Imm2, No. 44.

```
InCoTc2
1.0
-1.626 2.193 4.214
1.626 -2.193 4.214
1.626 2.193 -4.214
In Co Tc
1 1 2
Cartesian
0.000 0.000 0.000
1.626 0.000 2.079
0.000 0.000 4.120
0.000 2.193 1.954
```

=====

Entry 14:
Entry from the Alexandria database: crystalline InCo3Tc at its relaxed geometry (PBE).

As for the spin magnetization: 0.021 μB/atom. The value obtained for the density of states at the Fermi level is 8.6 states/eV per cell. For the distance to the lowest polymorph of the same formula, the calculation gives 0.000 eV per atom. Its space group is Pm-3m, No. 221.

```
InCo3Tc
1.0
4.424 0.000 0.000
0.000 4.424 0.000
0.000 0.000 4.424
In Co Tc
1 3 1
Cartesian
0.000 0.000 0.000
0.000 2.212 2.212
2.212 0.000 2.212
2.212 2.212 0.000
2.212 2.212 2.212
```

=====

Entry 15:
Entry from the Alexandria database: crystalline InCo2Tc2 at its relaxed geometry (PBE).

As for the spin magnetization: 0.000 μB/atom. The value obtained for the density of states at the Fermi level is 8.1 states/eV per cell. For the distance to the lowest polymorph of the same formula, the calculation gives 0.000 eV per atom. Its space group is P4/mbm, No. 127.

```
InCo2Tc2
1.0
7.230 0.000 0.000
0.000 7.230 0.000
0.000 0.000 2.720
In Co Tc
2 4 4
Cartesian
0.000 0.000 0.000
3.615 3.615 0.000
0.846 2.769 0.000
2.769 6.384 0.000
4.462 0.846 0.000
6.384 4.462 0.000
1.249 4.864 1.360
2.366 1.249 1.360
4.864 5.982 1.360
5.982 2.366 1.360
```

=====

Entry 16:
Entry from the Alexandria database: crystalline InCoTc2 at its relaxed geometry (PBE).

As for the spin magnetization: 0.000 μB/atom. The value obtained for the density of states at the Fermi level is 3.5 states/eV per cell. For the distance to the lowest polymorph of the same formula, the calculation gives 0.126 eV per atom. Its space group is I4/mmm, No. 139.

```
InCoTc2
1.0
-1.866 1.866 4.266
1.866 -1.866 4.266
1.866 1.866 -4.266
In Co Tc
1 1 2
Cartesian
0.000 0.000 0.000
0.000 0.000 4.266
1.866 0.000 2.133
0.000 1.866 2.133
```

=====

Entry 17:
Entry from the Alexandria database: crystalline In2CoTc2 at its relaxed geometry (PBE).

The calculation puts the uncorrected energy at -0.2296 Ha/atom. As for the spin magnetization: 0.000 μB/atom. The value obtained for the density of states at the Fermi level is 15.3 states/eV per cell. Its space group is P4/mbm, No. 127.

```
In2CoTc2
1.0
6.319 0.000 0.000
0.000 6.319 0.000
0.000 0.000 4.406
In Co Tc
4 2 4
Cartesian
1.124 2.036 0.000
2.036 5.195 0.000
4.283 1.124 0.000
5.195 4.283 0.000
0.000 0.000 2.203
3.159 3.159 2.203
0.829 3.988 2.203
2.331 0.829 2.203
3.988 5.490 2.203
5.490 2.331 2.203
```

=====

Entry 18:
Entry from the Alexandria database: crystalline InCoTc4 at its relaxed geometry (PBE).

The calculation puts the uncorrected energy at -0.2961 Ha/atom. As for the spin magnetization: 0.358 μB/atom. The value obtained for the density of states at the Fermi level is 6.5 states/eV per cell. Its space group is F-43m, No. 216.

```
InCoTc4
1.0
0.000 3.636 3.636
3.636 0.000 3.636
3.636 3.636 0.000
In Co Tc
1 1 4
Cartesian
0.000 0.000 0.000
1.818 1.818 1.818
4.542 2.730 2.730
2.730 4.542 2.730
2.730 2.730 4.542
4.542 4.542 4.542
```

=====

Entry 19:
Entry from the Alexandria database: crystalline In4CoTc at its relaxed geometry (PBE).

The calculation puts the uncorrected energy at -0.1386 Ha/atom. As for the spin magnetization: 0.365 μB/atom. The value obtained for the density of states at the Fermi level is 6.1 states/eV per cell. Its space group is F-43m, No. 216.

```
In4CoTc
1.0
0.000 3.961 3.961
3.961 0.000 3.961
3.961 3.961 0.000
In Co Tc
4 1 1
Cartesian
0.990 0.990 0.990
2.970 2.970 0.990
2.970 0.990 2.970
0.990 2.970 2.970
3.961 3.961 3.961
5.941 5.941 5.941
```

=====

Entry 20:
Entry from the Alexandria database: crystalline InCo2Tc2 at its relaxed geometry (PBE).

As for the spin magnetization: 0.000 μB/atom. The value obtained for the density of states at the Fermi level is 10.5 states/eV per cell. For the distance to the lowest polymorph of the same formula, the calculation gives 0.053 eV per atom. Its space group is P4/mbm, No. 127.

```
InCo2Tc2
1.0
7.381 0.000 0.000
0.000 7.381 0.000
0.000 0.000 2.673
In Co Tc
2 4 4
Cartesian
0.000 0.000 0.000
3.691 3.691 0.000
1.209 2.481 1.337
2.481 6.172 1.337
4.900 1.209 1.337
6.172 4.900 1.337
0.915 4.605 0.000
2.776 0.915 0.000
4.605 6.466 0.000
6.466 2.776 0.000
```